This record from Alexandria via LeMat-Bulk describes a relaxed structure of MgMnBr2. The functional is PBE.

Computed properties:
As for the crystal system: orthorhombic. Its total energy is -28.3 eV per cell. The calculation puts the energy above the lowest structure with this stoichiometry at 525 meV/atom. For the formation energy from raw total energies, the calculation gives -0.016 eV per atom. The volume comes out at 178.7 Å³/cell.

The structure in CIF format:
```
data_MgMnBr2
_cell_length_a 7.000
_cell_length_b 7.205
_cell_length_c 3.544
_cell_angle_alpha 90.00
_cell_angle_beta 90.00
_cell_angle_gamma 90.00
_space_group_name_H-M_alt 'C m m m'
_space_group_IT_number 65
_space_group_name_Hall '-C 2 2'
loop_
_atom_site_label
_atom_site_type_symbol
_atom_site_fract_x
_atom_site_fract_y
_atom_site_fract_z
Mg1 Mg 0.000 0.000 0.000
Mn1 Mn 0.000 0.500 0.000
Br1 Br 0.250 0.250 0.500
```